<1>
12
Lattice="2.8526 0.0000 0.0000 -1.4263 2.4704 0.0000 0.0000 0.0000 18.8382" Properties=species:S:1:pos:R:3 comment="LiGaF2 PBE-GGA optimized geometry" magmom_total_mub_per_fu=0.000 n_ef_per_ev_cell=0.00 vol_a3_per_cell=132.8 density_g_cm3=4.3 pbc="T T T"
Li 0.0000 0.0000 0.0000
Li 0.0000 1.6469 12.5588
Li 1.4263 0.8235 6.2794
Ga 0.0000 0.0000 9.4191
Ga 0.0000 1.6469 3.1397
Ga 1.4263 0.8235 15.6985
F 0.0000 0.0000 7.4076
F 0.0000 0.0000 11.4306
F 0.0000 1.6469 1.1282
F 0.0000 1.6469 5.1512
F 1.4263 0.8235 13.6870
F 1.4263 0.8235 17.7100

<2>
16
Lattice="5.9654 0.0000 0.0000 0.0000 5.9654 0.0000 0.0000 0.0000 5.9654" Properties=species:S:1:pos:R:3 comment="LiGaF2 PBE-GGA optimized geometry" magmom_total_mub_per_fu=0.000 n_ef_per_ev_cell=0.00 vol_a3_per_cell=212.3 density_g_cm3=3.6 pbc="T T T"
Li 0.0000 0.0000 0.0000
Li 0.0000 2.9827 2.9827
Li 2.9827 0.0000 2.9827
Li 2.9827 2.9827 0.0000
Ga 0.0000 0.0000 2.9827
Ga 0.0000 2.9827 0.0000
Ga 2.9827 0.0000 0.0000
Ga 2.9827 2.9827 2.9827
F 1.4914 1.4914 1.4914
F 1.4914 1.4914 4.4741
F 1.4914 4.4741 1.4914
F 1.4914 4.4741 4.4741
F 4.4741 1.4914 1.4914
F 4.4741 1.4914 4.4741
F 4.4741 4.4741 1.4914
F 4.4741 4.4741 4.4741

Least stable of them? <2>.

<1>
12
Lattice="3.6596 0.0000 0.0000 -1.8298 3.1693 0.0000 0.0000 0.0000 19.5112" Properties=species:S:1:pos:R:3 comment="LiGaF2 PBE-GGA optimized geometry" magmom_total_mub_per_fu=0.000 n_ef_per_ev_cell=0.00 vol_a3_per_cell=226.3 density_g_cm3=2.5 pbc="T T T"
Li 0.0000 0.0000 0.0000
Li 0.0000 2.1129 13.0075
Li 1.8298 1.0564 6.5037
Ga 0.0000 0.0000 9.7556
Ga 0.0000 2.1129 3.2519
Ga 1.8298 1.0564 16.2594
F 0.0000 0.0000 1.7219
F 0.0000 0.0000 17.7894
F 0.0000 2.1129 11.2856
F 0.0000 2.1129 14.7294
F 1.8298 1.0564 4.7819
F 1.8298 1.0564 8.2256

<2>
16
Lattice="5.2679 0.0000 0.0000 0.0000 5.2679 0.0000 0.0000 0.0000 8.7047" Properties=species:S:1:pos:R:3 comment="LiGaF2 PBE-GGA optimized geometry" magmom_total_mub_per_fu=0.000 n_ef_per_ev_cell=0.00 vol_a3_per_cell=241.6 density_g_cm3=3.2 pbc="T T T"
Li 0.0000 0.0000 0.0000
Li 0.0000 2.6339 2.1762
Li 2.6339 0.0000 6.5285
Li 2.6339 2.6339 4.3523
Ga 0.0000 0.0000 4.3523
Ga 0.0000 2.6339 6.5285
Ga 2.6339 0.0000 2.1762
Ga 2.6339 2.6339 0.0000
F 0.8576 1.3170 1.0881
F 1.3170 3.4916 3.2642
F 1.3170 4.4103 7.6166
F 1.7763 1.3170 5.4404
F 3.4916 3.9509 5.4404
F 3.9509 0.8576 7.6166
F 3.9509 1.7763 3.2642
F 4.4103 3.9509 1.0881

Least stable of them? <1>.